{"formula": "Re2As2Ir", "functional": "GGA-PBE", "state": "optimized geometry", "e_form_ev_per_fu": 2.70, "polymorph_energy_kcal_per_mol_atoms": 0.00, "lattice_angstrom": [[-2.5468, 6.0817, -2.9422], [-1.2989, -3.5264, -6.1650], [-2.6764, -0.6642, 0.9438]], "species": ["Re", "Re", "Re", "Re", "Ir", "Ir", "As", "As", "As", "As"], "fractional_positions": [[0.6525, 0.8475, 0.5000], [0.3475, 0.1525, 0.5000], [0.1525, 0.6525, 0.5000], [0.8475, 0.3475, 0.5000], [0.0000, 0.0000, 0.0000], [0.5000, 0.5000, 0.0000], [0.1491, 0.3509, 0.0000], [0.3509, 0.8509, 0.0000], [0.8509, 0.6491, 0.0000], [0.6491, 0.1491, 0.0000]]}